A relaxed Hg4PI3 crystal, computed with PBE.

Cell lengths 8.065, 8.021, 11.747 Å; angles 90.00, 90.00, 90.00 degrees
Fractional positions:
Hg 0.114 0.757 0.000
Hg 0.798 0.077 0.000
Hg 0.029 0.404 0.152
Hg 0.529 0.596 0.348
Hg 0.298 0.923 0.500
Hg 0.614 0.243 0.500
Hg 0.529 0.596 0.652
Hg 0.029 0.404 0.848
P 0.073 0.201 0.000
P 0.573 0.799 0.500
I 0.520 0.897 0.000
I 0.977 0.624 0.319
I 0.477 0.376 0.181
I 0.020 0.103 0.500
I 0.477 0.376 0.819
I 0.977 0.624 0.681

## Properties
- Energy relative to the elements, uncorrected: -0.124 eV/atom
- Space group: No. 31
- Electronic total energy: -12.3 eV per formula unit
- Spin magnetization: 0.0 μB/cell
- Fermi-level density of states: 0.00 states/eV/cell